# 1
DFT (PBEsol) results for an optimized crystal structure of Cs2AgIrF6.

a b c (Å): 8.8220 8.8220 8.8220
angles (deg): 90.00 90.00 90.00
Last column: nearest neighbours and their distance in Å.
Space group Fm-3m (No. 225)
One atom of each set of equivalent atoms:
Cs: 0.2500 0.2500 0.2500 [8 per cell]  12 F 3.12
Ag: 0.0000 0.0000 0.0000 [4 per cell]  6 F 2.38
Ir: 0.0000 0.0000 0.5000 [4 per cell]  6 F 2.03
F: 0.0000 0.0000 0.2700 [24 per cell]  1 Ir 2.03

Properties
raw formation energy = -1.892 eV/atom
magnetization = 0.80 Bohr magnetons per cell
crystal system = cubic
V = 686.60 Å³/cell

=====

# 2
DFT (PBEsol) results for an optimized crystal structure of Cs2KAgF6.

a b c (Å): 9.1614 9.1614 9.1614
angles (deg): 90.00 90.00 90.00
Last column: nearest neighbours and their distance in Å.
Space group Fm-3m (No. 225)
One atom of each set of equivalent atoms:
Cs: 0.2500 0.2500 0.2500 [8 per cell]  12 F 3.25
K: 0.0000 0.0000 0.0000 [4 per cell]  6 F 2.50
Ag: 0.0000 0.0000 0.5000 [4 per cell]  6 F 2.08
F: 0.0000 0.0000 0.2734 [24 per cell]  1 Ag 2.08

Properties
raw formation energy = -2.164 eV/atom
magnetization = 8.00 Bohr magnetons per cell
crystal system = cubic
V = 768.94 Å³/cell

=====

# 3
DFT (PBEsol) results for an optimized crystal structure of Cs2NdAgF6.

a b c (Å): 9.3285 9.3285 9.3285
angles (deg): 90.00 90.00 90.00
Last column: nearest neighbours and their distance in Å.
Space group Fm-3m (No. 225)
One atom of each set of equivalent atoms:
Cs: 0.2500 0.2500 0.2500 [8 per cell]  12 F 3.30
Nd: 0.0000 0.0000 0.0000 [4 per cell]  6 F 2.25
Ag: 0.0000 0.0000 0.5000 [4 per cell]  6 F 2.41
F: 0.0000 0.0000 0.2415 [24 per cell]  1 Nd 2.25, 1 Ag 2.41

Properties
raw formation energy = -2.887 eV/atom
magnetization = 0.00 Bohr magnetons per cell
crystal system = cubic
V = 811.78 Å³/cell

=====

# 4
DFT (PBEsol) results for an optimized crystal structure of Cs2Ga2Ag.

a b c (Å): 3.8241 3.8241 22.9938
angles (deg): 90.00 90.00 90.00
Last column: nearest neighbours and their distance in Å.
Space group I4/mmm (No. 139)
One atom of each set of equivalent atoms:
Cs: 0.0000 0.0000 0.1034 [4 per cell]  4 Ag 3.60, 4 Cs 3.82, 4 Ga 3.88
Ga: 0.0000 0.5000 0.2500 [4 per cell]  4 Ga 2.70
Ag: 0.0000 0.0000 0.5000 [2 per cell]  8 Cs 3.60, 4 Ag 3.82

Properties
energy relative to the elements = 0.140 eV/atom
magnetization = 0.00 Bohr magnetons per cell
crystal system = tetragonal
V = 336.25 Å³/cell

=====

# 5
DFT (PBEsol) results for an optimized crystal structure of CsGd2Ag3Te5.

a b c (Å): 4.5124 15.9635 18.3211
angles (deg): 90.00 90.00 90.00
Last column: nearest neighbours and their distance in Å.
Space group Cmcm (No. 63)
One atom of each set of equivalent atoms:
Cs: 0.0000 0.0577 0.2500 [4 per cell]  8 Te 3.73-3.79, 2 Ag 4.12
Gd: 0.0000 0.1907 0.5931 [8 per cell]  6 Te 3.05-3.13
Ag: 0.0000 0.3414 0.2500 [4 per cell]  4 Te 2.73-2.86
Ag: 0.0000 0.4132 0.5307 [8 per cell]  4 Te 2.78-2.86, 1 Ag 2.99
Te: 0.0000 0.1751 0.0741 [8 per cell]  2 Ag 2.78, 1 Gd 3.07
Te: 0.0000 0.2553 0.7500 [4 per cell]  2 Ag 2.73, 2 Gd 3.05
Te: 0.0000 0.4396 0.1197 [8 per cell]  3 Ag 2.79-2.86, 2 Gd 3.11

Properties
raw formation energy = -0.888 eV/atom
magnetization = 56.00 Bohr magnetons per cell
crystal system = orthorhombic
V = 1319.74 Å³/cell

=====

# 6
DFT (PBEsol) results for an optimized crystal structure of CsAgH2.

a b c (Å): 5.9548 5.9548 8.2213
angles (deg): 90.00 90.00 90.00
Last column: nearest neighbours and their distance in Å.
Space group I-42d (No. 122)
One atom of each set of equivalent atoms:
Cs: 0.0000 0.0000 0.0000 [4 per cell]  8 H 3.26-3.43, 4 Ag 3.62, 4 Cs 3.62
Ag: 0.0000 0.0000 0.5000 [4 per cell]  4 H 1.83
H: 0.0438 0.7500 0.6250 [8 per cell]  2 Ag 1.83

Properties
magnetization = 0.00 Bohr magnetons per cell
crystal system = tetragonal
V = 291.52 Å³/cell
final energy = -2.8185 eV per atom

=====

# 7
DFT (PBEsol) results for an optimized crystal structure of CsAgH3.

a b c (Å): 4.0798 4.0798 4.0798
angles (deg): 90.00 90.00 90.00
Last column: nearest neighbours and their distance in Å.
Space group Pm-3m (No. 221)
One atom of each set of equivalent atoms:
Cs: 0.0000 0.0000 0.0000 [1 per cell]  12 H 2.88
Ag: 0.5000 0.5000 0.5000 [1 per cell]  6 H 2.04
H: 0.0000 0.5000 0.5000 [3 per cell]  2 Ag 2.04

Properties
magnetization = 0.00 Bohr magnetons per cell
crystal system = cubic
V = 67.91 Å³/cell
final energy = -2.7061 eV per atom

=====

# 8
DFT (PBEsol) results for an optimized crystal structure of CsHf3Ag.

a b c (Å): 5.2171 5.2171 5.2171
angles (deg): 90.00 90.00 90.00
Last column: nearest neighbours and their distance in Å.
Space group Pm-3m (No. 221)
One atom of each set of equivalent atoms:
Cs: 0.0000 0.0000 0.0000 [1 per cell]  12 Hf 3.69
Hf: 0.0000 0.5000 0.5000 [3 per cell]  2 Ag 2.61
Ag: 0.5000 0.5000 0.5000 [1 per cell]  6 Hf 2.61

Properties
energy relative to the elements = 1.295 eV/atom
magnetization = 0.00 Bohr magnetons per cell
crystal system = cubic
V = 142.00 Å³/cell

=====

# 9
DFT (PBEsol) results for an optimized crystal structure of CsLaHfAg2.

a b c (Å): 5.4408 5.4408 5.4777
angles (deg): 90.00 90.00 90.00
Last column: nearest neighbours and their distance in Å.
Space group P4/mmm (No. 123)
One atom of each set of equivalent atoms:
Cs: 0.0000 0.0000 0.0000 [1 per cell]  4 La 3.85, 8 Ag 3.86
La: 0.5000 0.5000 0.0000 [1 per cell]  2 Hf 2.74
Hf: 0.5000 0.5000 0.5000 [1 per cell]  4 Ag 2.72, 2 La 2.74
Ag: 0.0000 0.5000 0.5000 [2 per cell]  2 Hf 2.72

Properties
energy relative to the elements = 0.686 eV/atom
magnetization = 0.00 Bohr magnetons per cell
crystal system = tetragonal
V = 162.15 Å³/cell

=====

# 10
DFT (PBEsol) results for an optimized crystal structure of Cs2HfZrAg.

a b c (Å): 6.4046 6.4046 5.0291
angles (deg): 90.00 90.00 90.00
Last column: nearest neighbours and their distance in Å.
Space group P4/mmm (No. 123)
One atom of each set of equivalent atoms:
Cs: 0.0000 0.5000 0.0000 [2 per cell]  2 Zr 3.20
Hf: 0.0000 0.0000 0.5000 [1 per cell]  2 Zr 2.51
Zr: 0.0000 0.0000 0.0000 [1 per cell]  2 Hf 2.51
Ag: 0.5000 0.5000 0.5000 [1 per cell]  8 Cs 4.07, 4 Hf 4.53

Properties
energy relative to the elements = 1.437 eV/atom
magnetization = 0.00 Bohr magnetons per cell
crystal system = tetragonal
V = 206.29 Å³/cell

=====

# 11
DFT (PBEsol) results for an optimized crystal structure of Cs2AgHg.

a b c (Å): 8.6725 8.6725 8.6725
angles (deg): 90.00 90.00 90.00
Last column: nearest neighbours and their distance in Å.
Space group Fm-3m (No. 225)
One atom of each set of equivalent atoms:
Cs: 0.2500 0.2500 0.2500 [8 per cell]  4 Hg 3.76, 4 Ag 3.76
Ag: 0.0000 0.0000 0.0000 [4 per cell]  8 Cs 3.76
Hg: 0.0000 0.0000 0.5000 [4 per cell]  8 Cs 3.76

Properties
energy relative to the elements = 0.030 eV/atom
magnetization = 0.00 Bohr magnetons per cell
crystal system = cubic
V = 652.27 Å³/cell

=====

# 12
DFT (PBEsol) results for an optimized crystal structure of CsAgHg3.

a b c (Å): 5.4109 5.4109 5.4109
angles (deg): 90.00 90.00 90.00
Last column: nearest neighbours and their distance in Å.
Space group Pm-3m (No. 221)
One atom of each set of equivalent atoms:
Cs: 0.0000 0.0000 0.0000 [1 per cell]  12 Hg 3.83
Ag: 0.5000 0.5000 0.5000 [1 per cell]  6 Hg 2.71
Hg: 0.0000 0.5000 0.5000 [3 per cell]  2 Ag 2.71

Properties
energy relative to the elements = -0.089 eV/atom
magnetization = 0.00 Bohr magnetons per cell
crystal system = cubic
V = 158.42 Å³/cell

=====

The lowest V belongs to which entry?
CsAgH3